This record from Alexandria via LeMat-Bulk describes a relaxed structure of Ce2PrGe. The functional is PBE.

a = 3.8151 Å, b = 3.8151 Å, c = 10.4523 Å
α = 79.48°, β = 79.48°, γ = 60.00°
Last column: magnetic moment on the atom in μB.
Element x y z (fractional)
Pr 0.0000 0.0000 0.0000  0.18
Ge 0.5000 0.5000 0.5000  -0.04
Ce 0.1059 0.1059 0.6823  0.65
Ce 0.8941 0.8941 0.3177  0.65

Summary:
Uncorrected energy ... -5.312 eV/atom
Distance to the lowest polymorph of the same formula ... 1.85 eV/f.u.
Density of states at the Fermi level ... 9.011 states/eV per cell

=====

This record from Alexandria via LeMat-Bulk describes a relaxed structure of LiHSe3. The functional is PBE.

a = 4.6828 Å, b = 4.6828 Å, c = 4.6828 Å
α = 90.00°, β = 90.00°, γ = 90.00°
Last column: magnetic moment on the atom in μB.
Element x y z (fractional)
H 0.5000 0.5000 0.5000  0.35
Se 0.0000 0.5000 0.0000  0.00
Se 0.0000 0.0000 0.5000  -0.02
Se 0.5000 0.0000 0.0000  0.00
Li 0.0000 0.0000 0.0000  0.00

Summary:
Uncorrected energy ... -2.396 eV/atom
Distance to the lowest polymorph of the same formula ... 2.23 eV/f.u.
Density of states at the Fermi level ... 3.647 states/eV per cell

=====

This record from Alexandria via LeMat-Bulk describes a relaxed structure of MoOs3. The functional is PBE.

a = 4.3966 Å, b = 4.3966 Å, c = 4.3966 Å
α = 60.00°, β = 60.00°, γ = 60.00°
Last column: magnetic moment on the atom in μB.
Element x y z (fractional)
Mo 0.0000 0.0000 0.0000  0.01
Os 0.7500 0.7500 0.7500  0.12
Os 0.5000 0.5000 0.5000  0.28
Os 0.2500 0.2500 0.2500  0.12

Summary:
Uncorrected energy ... -10.523 eV/atom
Density of states at the Fermi level ... 7.350 states/eV per cell

=====

This record from Alexandria via LeMat-Bulk describes a relaxed structure of Pr2TlPb. The functional is PBE.

a = 4.5140 Å, b = 6.4697 Å, c = 9.5624 Å
α = 111.79°, β = 90.00°, γ = 90.00°
Element x y z (fractional)
Pr 0.7500 0.2300 0.4330
Pr 0.2500 0.7700 0.5670
Pr 0.2500 0.7703 0.0697
Pr 0.7500 0.2297 0.9303
Tl 0.2500 0.3135 0.2021
Tl 0.7500 0.6865 0.7979
Pb 0.7500 0.6755 0.2946
Pb 0.2500 0.3245 0.7054

Summary:
Uncorrected energy ... -4.391 eV/atom
Density of states at the Fermi level ... 8.028 states/eV per cell

=====

This record from Alexandria via LeMat-Bulk describes a relaxed structure of K2NpBr4. The functional is PBE.

a = 5.7866 Å, b = 5.7866 Å, c = 9.3804 Å
α = 72.03°, β = 72.03°, γ = 90.00°
Last column: magnetic moment on the atom in μB.
Element x y z (fractional)
Np 0.0000 0.0000 0.0000  4.54
K 0.6356 0.6356 0.7288  0.01
K 0.3644 0.3644 0.2712  0.01
Br 0.8257 0.8257 0.3486  -0.01
Br 0.1743 0.1743 0.6514  -0.01
Br 0.0000 0.5000 0.0000  -0.02
Br 0.5000 0.0000 0.0000  -0.02

Summary:
Uncorrected energy ... -4.440 eV/atom
Density of states at the Fermi level ... 12.436 states/eV per cell

=====

This record from Alexandria via LeMat-Bulk describes a relaxed structure of La5TbNd2Th. The functional is PBE.

a = 5.5785 Å, b = 11.3866 Å, c = 10.6287 Å
α = 90.00°, β = 90.00°, γ = 104.17°
Element x y z (fractional)
La 0.3700 0.7396 0.0082
La 0.7241 0.4484 0.8171
La 0.5000 0.0001 0.7582
La 0.2759 0.5518 0.6995
La 0.9987 0.9985 0.5082
La 0.6300 0.2603 0.5081
La 0.2758 0.5516 0.3172
La 0.4999 0.9999 0.2582
La 0.7241 0.4483 0.1995
La 0.0012 0.0015 0.0081
Tb 0.6035 0.2056 0.0082
Tb 0.3965 0.7944 0.5082
Nd 0.8881 0.7758 0.7563
Nd 0.1120 0.2243 0.7600
Nd 0.1119 0.2241 0.2562
Nd 0.8880 0.7757 0.2601
Th 0.7898 0.5803 0.5083
Th 0.2103 0.4197 0.0083

Summary:
Uncorrected energy ... -5.018 eV/atom
Density of states at the Fermi level ... 25.304 states/eV per cell